Compound: ErScSnC
Source: OQMD via LeMat-Bulk
Functional: PBE
Structure: relaxed

Properties
**Calculated total energy**: -6.642 eV/atom

Geometry as POSCAR:
```
ErScSnC
1.0
-3.119 -1.055 -1.125
2.893 -1.424 -1.306
-0.329 -10.711 10.953
Er Sn C Sc
2 2 2 2
Direct
0.333 0.667 0.417
0.667 0.333 0.917
0.667 0.333 0.245
0.333 0.667 0.745
0.000 0.000 0.005
0.000 0.000 0.505
0.667 0.333 0.583
0.333 0.667 0.083
```


Compound: ErScSnC
Source: OQMD via LeMat-Bulk
Functional: PBE
Structure: relaxed

Properties
**Calculated total energy**: -6.639 eV/atom

Geometry as POSCAR:
```
ErScSnC
1.0
-1.253 0.197 3.238
-0.812 -2.714 -2.017
12.289 -7.549 5.215
C Sc Er Sn
2 2 2 2
Direct
0.000 0.000 0.500
0.000 0.000 0.000
0.667 0.333 0.922
0.333 0.667 0.078
0.667 0.333 0.587
0.333 0.667 0.413
0.333 0.667 0.760
0.667 0.333 0.240
```


Compound: ErScSnC
Source: OQMD via LeMat-Bulk
Functional: PBE
Structure: relaxed

Properties
**Calculated total energy**: -6.641 eV/atom

Geometry as POSCAR:
```
ErScSnC
1.0
3.478 0.000 0.000
-1.739 3.012 0.000
0.000 0.000 15.329
Er Sn Sc C
2 2 2 2
Direct
0.667 0.333 0.828
0.667 0.333 0.172
0.333 0.667 0.000
0.667 0.333 0.500
0.333 0.667 0.663
0.333 0.667 0.337
0.000 0.000 0.741
0.000 0.000 0.259
```


Compound: ErSc3Sn2C2
Source: OQMD via LeMat-Bulk
Functional: PBE
Structure: relaxed

Properties
**Calculated total energy**: -6.893 eV/atom

Geometry as POSCAR:
```
ErSc3Sn2C2
1.0
-2.301 -1.297 -2.180
3.341 -0.169 -0.735
0.869 -13.346 7.023
Sc C Er Sn
3 2 1 2
Direct
0.667 0.333 0.419
0.000 0.000 0.578
0.667 0.333 0.086
0.333 0.667 0.006
0.333 0.667 0.498
0.000 0.000 0.917
0.667 0.333 0.742
0.000 0.000 0.253
```


Compound: Er3ScSn2C2
Source: OQMD via LeMat-Bulk
Functional: PBE
Structure: relaxed

Properties
**Calculated total energy**: -6.398 eV/atom

Geometry as POSCAR:
```
Er3ScSn2C2
1.0
3.531 0.000 0.000
-1.766 3.058 0.000
0.000 0.000 15.520
Sn Er C Sc
2 3 2 1
Direct
0.333 0.667 0.243
0.000 0.000 0.752
0.333 0.667 0.920
0.000 0.000 0.413
0.333 0.667 0.585
0.667 0.333 0.006
0.667 0.333 0.499
0.000 0.000 0.082
```


Compound: ErScW2C3
Source: OQMD via LeMat-Bulk
Functional: PBE
Structure: relaxed

Properties
**Calculated total energy**: -9.593 eV/atom

Geometry as POSCAR:
```
ErScW2C3
1.0
5.708 -1.626 0.000
5.708 1.626 0.000
-1.944 0.000 5.223
C W Sc Er
3 2 1 1
Direct
0.750 0.750 0.258
0.244 0.244 0.740
0.002 0.002 0.990
0.845 0.845 0.670
0.152 0.152 0.328
0.616 0.616 0.837
0.391 0.391 0.177
```


Compound: Er4SnC2Se
Source: OQMD via LeMat-Bulk
Functional: PBE
Structure: relaxed

Properties
**Calculated total energy**: -6.392 eV/atom

Geometry as POSCAR:
```
Er4SnC2Se
1.0
-1.000 -2.638 -2.328
0.957 -0.851 3.427
-13.677 1.487 4.190
Sn Er C Se
1 4 2 1
Direct
0.333 0.667 0.500
0.000 0.000 0.679
0.000 0.000 0.321
0.333 0.667 0.862
0.333 0.667 0.138
0.667 0.333 0.231
0.667 0.333 0.769
0.000 0.000 0.000
```


Compound: Tb3ErC2Se2
Source: OQMD via LeMat-Bulk
Functional: PBE
Structure: relaxed

Properties
**Calculated total energy**: -6.625 eV/atom

Geometry as POSCAR:
```
Tb3ErC2Se2
1.0
-2.021 1.556 2.770
-0.678 -3.549 -1.061
8.861 -4.358 8.915
Er Tb Se C
1 3 2 2
Direct
0.000 0.000 0.900
0.000 0.000 0.601
0.667 0.333 0.399
0.667 0.333 0.099
0.667 0.333 0.753
0.000 0.000 0.249
0.333 0.667 0.998
0.333 0.667 0.500
```


Compound: Er4TeC2Se
Source: OQMD via LeMat-Bulk
Functional: PBE
Structure: relaxed

Properties
**Calculated total energy**: -6.448 eV/atom

Geometry as POSCAR:
```
Er4TeC2Se
1.0
-2.343 2.867 0.589
-0.898 -3.433 1.208
6.103 2.561 11.821
Er Te Se C
4 1 1 2
Direct
0.000 0.000 0.164
0.333 0.667 0.356
0.000 0.000 0.836
0.333 0.667 0.644
0.333 0.667 0.000
0.000 0.000 0.500
0.667 0.333 0.258
0.667 0.333 0.742
```


Compound: Er4TlC2Se
Source: OQMD via LeMat-Bulk
Functional: PBE
Structure: relaxed

Properties
**Calculated total energy**: -6.100 eV/atom

Geometry as POSCAR:
```
Er4TlC2Se
1.0
3.656 0.000 0.000
-1.828 3.166 0.000
0.000 0.000 14.628
C Se Tl Er
2 1 1 4
Direct
0.667 0.333 0.227
0.667 0.333 0.773
0.000 0.000 0.000
0.333 0.667 0.500
0.000 0.000 0.316
0.000 0.000 0.684
0.333 0.667 0.136
0.333 0.667 0.864
```


Compound: ErTm3C2Se2
Source: OQMD via LeMat-Bulk
Functional: PBE
Structure: relaxed

Properties
**Calculated total energy**: -6.612 eV/atom

Geometry as POSCAR:
```
ErTm3C2Se2
1.0
3.705 0.000 0.000
-1.852 3.209 0.000
0.000 0.000 13.066
Se Tm Er C
2 3 1 2
Direct
0.000 0.000 0.250
0.667 0.333 0.750
0.667 0.333 0.100
0.667 0.333 0.401
0.000 0.000 0.599
0.000 0.000 0.900
0.333 0.667 0.000
0.333 0.667 0.500
```


Compound: ErTmCSe
Source: OQMD via LeMat-Bulk
Functional: PBE
Structure: relaxed

Properties
**Calculated total energy**: -6.620 eV/atom

Geometry as POSCAR:
```
ErTmCSe
1.0
3.710 0.000 0.000
-1.855 3.213 0.000
0.000 0.000 13.086
Er Tm C Se
2 2 2 2
Direct
0.667 0.333 0.900
0.333 0.667 0.400
0.333 0.667 0.100
0.667 0.333 0.600
0.000 0.000 0.500
0.000 0.000 0.000
0.667 0.333 0.250
0.333 0.667 0.750
```


What is the calculated total energy in the twelfth record? -6.620 eV/atom